Dy8Er3Tm3 | PBE | optimized geometry

Unit cell a=5.546 b=9.516 c=9.516 alpha=101.70 beta=73.06 gamma=73.06
Positions (direct):
Tm 0.000 0.819 0.181
Tm 0.500 0.000 0.000
Tm 0.000 0.181 0.819
Er 0.799 0.201 0.201
Er 0.201 0.799 0.799
Er 0.500 0.500 0.500
Dy 0.159 0.237 0.444
Dy 0.841 0.763 0.556
Dy 0.342 0.881 0.436
Dy 0.159 0.444 0.237
Dy 0.841 0.556 0.763
Dy 0.342 0.436 0.881
Dy 0.658 0.119 0.564
Dy 0.658 0.564 0.119

Properties
Energy above the most stable polymorph in this dataset (meV/atom): 3
Formation enthalpy at 0 K (eV per atom): 0.12
Size of the total moment (μB per atom): 0.00
Total energy (hartree per atom): -0.1634